Entry one
Density functional theory data (GGA-PBE) for crystalline ZrRuRh3 at its relaxed geometry.

CIF file:
```
data_ZrRuRh3
_chemical_formula_sum 'Zr1 Ru1 Rh3'
_space_group_name_H-M_alt 'P 1'
_space_group_IT_number 1
_cell_length_a 4.643
_cell_length_b 4.643
_cell_length_c 4.643
_cell_angle_alpha 90.00
_cell_angle_beta 90.00
_cell_angle_gamma 90.00
loop_
_space_group_symop_operation_xyz
'x,y,z'
loop_
_atom_site_label
_atom_site_fract_x
_atom_site_fract_y
_atom_site_fract_z
Zr1 0.500 0.500 0.500
Ru1 0.000 0.000 0.000
Rh1 0.000 0.000 0.500
Rh2 0.500 0.000 0.000
Rh3 0.000 0.500 0.000
```

***

Entry two
Density functional theory data (GGA-PBE) for crystalline ZrRuRh3 at its relaxed geometry.

CIF file:
```
data_ZrRuRh3
_chemical_formula_sum 'Zr1 Ru1 Rh3'
_space_group_name_H-M_alt 'P 1'
_space_group_IT_number 1
_cell_length_a 4.733
_cell_length_b 4.733
_cell_length_c 4.733
_cell_angle_alpha 90.00
_cell_angle_beta 90.00
_cell_angle_gamma 90.00
loop_
_space_group_symop_operation_xyz
'x,y,z'
loop_
_atom_site_label
_atom_site_fract_x
_atom_site_fract_y
_atom_site_fract_z
Zr1 0.000 0.000 0.000
Ru1 0.500 0.500 0.500
Rh1 0.500 0.000 0.000
Rh2 0.000 0.500 0.000
Rh3 0.000 0.000 0.500
```

***

entry one is the most stable structure; the next one sits 431 meV/atom above it.